Entry 1:
P2HAuO | PBE | optimized geometry

Unit cell a=4.872 b=4.872 c=3.997 alpha=90.00 beta=90.00 gamma=90.00
Fractional coordinates of all 5 atoms:
1 P 0.000 0.500 0.000
2 P 0.500 0.000 0.000
3 H 0.000 0.000 0.500
4 Au 0.500 0.500 0.000
5 O 0.500 0.500 0.500

Output
As for the space-group type: P4/mmm (123). As for the total energy: -3.030 eV per atom. For the calculated volume, the calculation gives 94.87 Å³/cell. Its calculated density is 4.83 g/cm3. For the distance to the lowest polymorph of the same formula, the calculation gives 654 meV per atom.

---

Entry 2:
Ac5Pr2Nd2 | PBE | optimized geometry

Unit cell a=10.202 b=10.202 c=8.823 alpha=90.00 beta=90.00 gamma=55.03
Fractional coordinates of all 18 atoms:
1 Ac 0.000 0.000 0.000
2 Ac 0.058 0.665 0.691
3 Ac 0.165 0.558 0.191
4 Ac 0.335 0.942 0.691
5 Ac 0.442 0.835 0.191
6 Ac 0.500 0.500 0.500
7 Ac 0.558 0.165 0.809
8 Ac 0.665 0.058 0.309
9 Ac 0.835 0.442 0.809
10 Ac 0.942 0.335 0.309
11 Pr 0.221 0.221 0.000
12 Pr 0.279 0.279 0.500
13 Pr 0.721 0.721 0.500
14 Pr 0.779 0.779 0.000
15 Nd 0.123 0.877 0.383
16 Nd 0.377 0.623 0.883
17 Nd 0.623 0.377 0.117
18 Nd 0.877 0.123 0.617

Output
The formation energy is 215 kJ/mol of formula units. As for the space-group type: Cmce (64). As for the total energy: -4.157 eV per atom. For the calculated volume, the calculation gives 752.48 Å³/cell. Its calculated density is 7.53 g/cm3. For the distance to the lowest polymorph of the same formula, the calculation gives 54 meV per atom.

---

Entry 3:
NdThAg | PBE | optimized geometry

Unit cell a=6.908 b=6.908 c=6.908 alpha=148.93 beta=148.93 gamma=44.52
Fractional coordinates of all 3 atoms:
1 Nd 0.000 0.000 0.000
2 Th 0.305 0.305 0.000
3 Ag 0.653 0.653 0.000

Output
The formation energy is -18 kJ/mol of formula units. As for the space-group type: I4mm (107). As for the total energy: -5.077 eV per atom. For the calculated volume, the calculation gives 87.54 Å³/cell. Its calculated density is 9.18 g/cm3. For the distance to the lowest polymorph of the same formula, the calculation gives 44 meV per atom.

---

Entry 4:
Mn3Pt5 | PBE | optimized geometry

Unit cell a=7.018 b=7.018 c=7.983 alpha=95.18 beta=95.18 gamma=139.02
Fractional coordinates of all 16 atoms:
1 Mn 0.163 0.837 0.000
2 Mn 0.279 0.721 0.500
3 Mn 0.384 0.384 0.640
4 Mn 0.616 0.616 0.360
5 Mn 0.721 0.279 0.500
6 Mn 0.837 0.163 0.000
7 Pt 0.001 0.212 0.342
8 Pt 0.212 0.001 0.342
9 Pt 0.235 0.235 0.939
10 Pt 0.261 0.624 0.806
11 Pt 0.376 0.739 0.194
12 Pt 0.624 0.261 0.806
13 Pt 0.739 0.376 0.194
14 Pt 0.765 0.765 0.061
15 Pt 0.788 0.999 0.658
16 Pt 0.999 0.788 0.658

Output
The formation energy is -128 kJ/mol of formula units. As for the space-group type: C2/m (12). As for the total energy: -7.379 eV per atom. For the calculated volume, the calculation gives 249.11 Å³/cell. Its calculated density is 15.20 g/cm3.

---

> The highest total energy belongs to which entry?

P2HAuO

---

> Number 3 is which compound?

NdThAg